--- P ---
Below is a relaxed structure of Ac6Pr2Sm, with properties calculated at the PBE level.

Structure (CIF):
```
data_Ac6Pr2Sm
_cell_length_a 3.9017
_cell_length_b 3.9017
_cell_length_c 28.9897
_cell_angle_alpha 90.00
_cell_angle_beta 90.00
_cell_angle_gamma 120.00
_space_group_name_H-M_alt 'P -6 m 2'
_space_group_IT_number 187
_space_group_name_Hall 'P -6 2'
loop_
_atom_site_label
_atom_site_type_symbol
_atom_site_fract_x
_atom_site_fract_y
_atom_site_fract_z
_atom_site_occupancy
Ac1 Ac 0.0000 0.0000 0.0658 1
Ac2 Ac 0.0000 0.0000 0.2801 1
Ac3 Ac 0.3333 0.6667 0.3951 1
Pr1 Pr 0.3333 0.6667 0.1711 1
Sm1 Sm 0.0000 0.0000 0.5000 1
```

## Properties
theoretical density	7.80	Mg/m³

***

--- Q ---
Below is a relaxed structure of Ac6Pr2Sm, with properties calculated at the PBE level.

Structure (CIF):
```
data_Ac6Pr2Sm
_cell_length_a 11.626
_cell_length_b 11.626
_cell_length_c 5.555
_cell_angle_alpha 90.00
_cell_angle_beta 90.00
_cell_angle_gamma 90.00
_space_group_name_H-M_alt 'P 42/m n m'
_space_group_IT_number 136
_space_group_name_Hall '-P 4n 2n'
loop_
_atom_site_label
_atom_site_type_symbol
_atom_site_fract_x
_atom_site_fract_y
_atom_site_fract_z
_atom_site_occupancy
Ac1 Ac 0.002 0.328 0.000 1
Ac2 Ac 0.160 0.840 0.500 1
Pr1 Pr 0.168 0.168 0.500 1
Sm1 Sm 0.000 0.000 0.000 1
```

## Properties
theoretical density	7.94	Mg/m³

***

Which is less stable than every other structure shown? P is.